Below is an optimized crystal structure of CsHfMo2, with properties calculated at the PBE-GGA level.

abc: 4.8823 4.8823 4.8823
angles: 60.00 60.00 60.00
Atoms (fractional coordinates):
Cs 0.0000 0.0000 0.0000
Hf 0.5000 0.5000 0.5000
Mo 0.7500 0.7500 0.7500
Mo 0.2500 0.2500 0.2500

Calculated values
energy above the most stable polymorph in this dataset = 0 meV/atom
energy relative to the elements = 1688 meV/atom
magnetic moment = 0.00 μB per formula unit
calculated total energy = -25.7 eV/cell